Computed, not measured: crystalline Pm6Ni2AgI3 at its relaxed geometry at the PBE level of DFT.

Cell lengths 7.309, 7.309, 8.319 Å; angles 98.46, 98.46, 119.96 degrees
Fractional coordinates of all 12 atoms:
1 Pm 0.937 0.574 0.812
2 Pm 0.700 0.700 0.186
3 Pm 0.063 0.426 0.188
4 Pm 0.574 0.937 0.812
5 Pm 0.300 0.300 0.814
6 Pm 0.426 0.063 0.188
7 Ni 0.333 0.667 0.000
8 Ni 0.667 0.333 0.000
9 Ag 0.000 0.000 0.000
10 I 0.162 0.838 0.500
11 I 0.838 0.162 0.500
12 I 0.500 0.500 0.500

Properties
DOS(E_F), states/eV/atom: 0.754
Raw total energy, eV per atom: -4.579
Formation energy (no corrections), eV/atom: -0.62